Computed, not measured: a relaxed MnSiAg crystal at the GGA-PBEsol level of DFT.

Cell: 2.745 4.234 4.234 Å, 120.00 90.00 90.00°
Fractional coordinates of all 3 atoms:
1 Ag 0.166 0.000 0.000
2 Si 0.168 0.667 0.333
3 Mn 0.666 0.333 0.667

- relative energy among the computed polymorphs (meV/atom) = 15
- E_form (uncorrected) (meV per atom) = 182
- space-group type = No. 187
- VASP energy (eV/cell) = -18.3

---

Computed, not measured: a relaxed Al2Cd2Rh crystal at the GGA-PBEsol level of DFT.

Cell: 3.617 3.617 7.550 Å, 103.86 103.86 90.00°
Fractional coordinates of all 5 atoms:
1 Al 0.587 0.587 0.174
2 Cd 0.750 0.250 0.500
3 Rh 0.000 0.000 0.000
4 Al 0.413 0.413 0.826
5 Cd 0.250 0.750 0.500

- space-group type = No. 139
- VASP energy (eV/cell) = -17.2
- energy of formation from the pure elements (eV/atom) = 0.31

---

Computed, not measured: a relaxed DySi3Ir crystal at the GGA-PBEsol level of DFT.

Cell: 4.149 4.149 5.681 Å, 111.41 111.41 90.00°
Fractional coordinates of all 5 atoms:
1 Si 0.236 0.736 0.471
2 Si 0.587 0.587 0.173
3 Si 0.736 0.236 0.471
4 Ir 0.349 0.349 0.698
5 Dy 0.003 0.003 0.006

- E_form (uncorrected) (meV per atom) = -849
- space-group type = No. 107
- VASP energy (eV/cell) = -36.3

---

Computed, not measured: a relaxed NaH4IO2 crystal at the GGA-PBEsol level of DFT.

Cell: 5.886 7.152 6.971 Å, 61.98 79.89 65.51°
Fractional coordinates of all 16 atoms:
1 H 0.061 0.727 0.866
2 I 0.759 0.383 0.776
3 O 0.354 0.017 0.716
4 H 0.193 0.140 0.719
5 H 0.807 0.860 0.281
6 H 0.939 0.273 0.134
7 H 0.957 0.648 0.736
8 H 0.629 0.108 0.135
9 O 0.646 0.983 0.284
10 Na 0.319 0.869 0.475
11 Na 0.681 0.131 0.525
12 O 0.996 0.227 0.281
13 H 0.043 0.352 0.264
14 O 0.004 0.773 0.719
15 H 0.371 0.892 0.865
16 I 0.241 0.617 0.224

- space-group type = No. 2
- VASP energy (eV/cell) = -71.3

---

Computed, not measured: a relaxed BiPN3 crystal at the GGA-PBEsol level of DFT.

Cell: 3.663 3.663 3.663 Å, 90.00 90.00 90.00°
Fractional coordinates of all 5 atoms:
1 N 0.000 0.000 0.500
2 P 0.000 0.000 0.000
3 N 0.000 0.500 0.000
4 N 0.500 0.000 0.000
5 Bi 0.500 0.500 0.500

- E_form (uncorrected) (meV per atom) = 532
- space-group type = No. 221
- VASP energy (eV/cell) = -33.0

---

Computed, not measured: a relaxed TlNi3 crystal at the GGA-PBEsol level of DFT.

Cell: 3.053 3.053 5.597 Å, 90.00 90.00 90.00°
Fractional coordinates of all 4 atoms:
1 Tl 0.500 0.500 0.000
2 Ni 0.000 0.000 0.713
3 Ni 0.000 0.000 0.287
4 Ni 0.500 0.500 0.500

- space-group type = No. 123
- VASP energy (eV/cell) = -20.1
- energy of formation from the pure elements (eV/atom) = 0.24

---

no.,total magnetic moment (μB/cell)
1,3.08
2,0.00
3,0.00
4,0.00
5,0.00
6,0.54